[1]
Here is an optimized crystal structure of SrAgN2O from Alexandria. Energies are from PBE.

Properties
**Raw total energy**: -3.84 eV per atom
**Formation energy without anion corrections**: 1.386 eV/atom

Unit cell a=4.9731 b=4.9731 c=4.5598 alpha=90.00 beta=90.00 gamma=90.00
Space group P4/mmm (No. 123)
Unique sites:
Sr (0.0000, 0.0000, 0.0000) (multiplicity 1)
Ag (0.5000, 0.5000, 0.5000) (multiplicity 1)
N (0.0000, 0.5000, 0.0000) (multiplicity 2)
O (0.0000, 0.0000, 0.5000) (multiplicity 1)

[2]
Here is an optimized crystal structure of KScOs from Alexandria. Energies are from PBE.

Properties
**Excess energy over the best structure of this formula in the dataset**: 148 meV/atom
**Raw total energy**: -5.58 eV per atom
**E_form**: 1.905 eV per formula unit

Unit cell a=3.2290 b=3.2290 c=8.1657 alpha=90.00 beta=90.00 gamma=120.00
Space group P3m1 (No. 156)
Unique sites:
K (0.0000, 0.0000, 0.0000) (multiplicity 1)
Sc (0.3333, 0.6667, 0.5492) (multiplicity 1)
Os (0.6667, 0.3333, 0.3299) (multiplicity 1)